LiAg2Rh: relaxed, GGA-PBE.

Output
E_form = 0.19 eV/f.u.
crystal system = tetragonal
total energy = -3.70 eV/atom
space group = P4mm, No. 99

Unit cell a=2.803 b=2.803 c=7.979 alpha=90.00 beta=90.00 gamma=90.00
Positions (direct):
1 Li 0.000 0.000 0.512
2 Rh 0.500 0.500 0.730
3 Ag 0.000 0.000 0.991
4 Ag 0.500 0.500 0.267